The following is a DFT calculation (GGA+U) of a relaxed POsWO2 crystal.

Calculated values
Space-group type: P4/mmm
Magnetic moment in μB per cell: 3.14
ΔE to the lowest computed polymorph in eV per formula unit: 0.19

Lattice parameters (Å, degrees): 3.7574 3.7574 5.4366 90.00 90.00 90.00
Closest atoms and distances in Å follow each position.
Fractional positions:
P: 0.0000 0.0000 0.0000  4 W 2.66, 2 Os 2.72
Os: 0.0000 0.0000 0.5000  4 O 1.88
W: 0.5000 0.5000 0.0000  4 P 2.66
O: 0.0000 0.5000 0.5000  2 Os 1.88
O: 0.5000 0.0000 0.5000  2 Os 1.88